Entry 1:
# TiCuAsSe2, relaxed, DFT PBE-GGA
data_TiCuAsSe2
_chemical_formula_sum 'Ti1 Cu1 As1 Se2'
_symmetry_space_group_name_H-M 'P 1'
_symmetry_Int_Tables_number 1
_cell_length_a 4.894
_cell_length_b 4.894
_cell_length_c 4.923
_cell_angle_alpha 90.00
_cell_angle_beta 90.00
_cell_angle_gamma 90.00
loop_
_symmetry_equiv_pos_as_xyz
'x,y,z'
loop_
_atom_site_label
_atom_site_fract_x
_atom_site_fract_y
_atom_site_fract_z
Ti1 0.000 0.000 0.000
Se1 0.000 0.500 0.000
Se2 0.500 0.000 0.000
As1 0.000 0.000 0.500
Cu1 0.500 0.500 0.500
# Magnetization = 0.0 μB per cell
# Crystal system = tetragonal
# DFT total energy = -4.546 eV/atom
# E above lowest polymorph = 0 kJ/mol of formula units
# Calculated density = 4.8 Mg/m³
# Formation energy (no corrections) = 0.176 eV per atom
# Fermi-level density of states = 4.40 states/eV per cell

***

Entry 2:
# DyMg2Tl2, relaxed, DFT PBE-GGA
data_DyMg2Tl2
_chemical_formula_sum 'Dy1 Mg2 Tl2'
_symmetry_space_group_name_H-M 'P 1'
_symmetry_Int_Tables_number 1
_cell_length_a 4.462
_cell_length_b 4.462
_cell_length_c 7.196
_cell_angle_alpha 108.06
_cell_angle_beta 108.06
_cell_angle_gamma 90.00
loop_
_symmetry_equiv_pos_as_xyz
'x,y,z'
loop_
_atom_site_label
_atom_site_fract_x
_atom_site_fract_y
_atom_site_fract_z
Mg1 0.250 0.750 0.500
Mg2 0.750 0.250 0.500
Tl1 0.390 0.390 0.781
Tl2 0.610 0.610 0.219
Dy1 0.000 0.000 0.000
# Magnetization = 0.0 μB per cell
# Crystal system = tetragonal
# DFT total energy = -2.607 eV/atom
# E above lowest polymorph = 0 kJ/mol of formula units
# Calculated formation energy = -0.102 eV/atom
# Calculated density = 8.0 Mg/m³
# Fermi-level density of states = 2.14 states/eV per cell

***

Entry 3:
# Cs2NaTl4Sb3, relaxed, DFT PBE-GGA
data_Cs2NaTl4Sb3
_chemical_formula_sum 'Cs2 Na1 Tl4 Sb3'
_symmetry_space_group_name_H-M 'P 1'
_symmetry_Int_Tables_number 1
_cell_length_a 5.247
_cell_length_b 5.247
_cell_length_c 14.078
_cell_angle_alpha 90.00
_cell_angle_beta 90.00
_cell_angle_gamma 90.00
loop_
_symmetry_equiv_pos_as_xyz
'x,y,z'
loop_
_atom_site_label
_atom_site_fract_x
_atom_site_fract_y
_atom_site_fract_z
Cs1 0.500 0.000 0.237
Cs2 0.000 0.500 0.763
Sb1 0.000 0.500 0.122
Sb2 0.000 0.000 0.500
Sb3 0.500 0.000 0.878
Tl1 0.500 0.500 0.000
Tl2 0.500 0.000 0.635
Tl3 0.000 0.000 0.000
Tl4 0.000 0.500 0.365
Na1 0.500 0.500 0.500
# Magnetization = 0.0 μB per cell
# Crystal system = tetragonal
# DFT total energy = -2.685 eV/atom
# Calculated density = 6.3 Mg/m³
# Formation energy (no corrections) = -0.199 eV per atom
# Fermi-level density of states = 2.80 states/eV per cell

***

Entry 4:
# Ho3Pu, relaxed, DFT PBE-GGA
data_Ho3Pu
_chemical_formula_sum 'Ho3 Pu1'
_symmetry_space_group_name_H-M 'P 1'
_symmetry_Int_Tables_number 1
_cell_length_a 4.915
_cell_length_b 4.915
_cell_length_c 6.046
_cell_angle_alpha 113.98
_cell_angle_beta 113.98
_cell_angle_gamma 90.00
loop_
_symmetry_equiv_pos_as_xyz
'x,y,z'
loop_
_atom_site_label
_atom_site_fract_x
_atom_site_fract_y
_atom_site_fract_z
Pu1 0.000 0.000 0.000
Ho1 0.500 0.500 0.000
Ho2 0.250 0.750 0.500
Ho3 0.750 0.250 0.500
# Magnetization = 6.8 μB per cell
# Crystal system = tetragonal
# DFT total energy = -6.901 eV/atom
# E above lowest polymorph = 14 kJ/mol of formula units
# Calculated formation energy = 0.115 eV/atom
# Calculated density = 10.3 Mg/m³
# Fermi-level density of states = 13.21 states/eV per cell

***

Entry 5:
# Zr2ZnW, relaxed, DFT PBE-GGA
data_Zr2ZnW
_chemical_formula_sum 'Zr2 Zn1 W1'
_symmetry_space_group_name_H-M 'P 1'
_symmetry_Int_Tables_number 1
_cell_length_a 3.406
_cell_length_b 3.513
_cell_length_c 6.257
_cell_angle_alpha 90.00
_cell_angle_beta 90.00
_cell_angle_gamma 90.00
loop_
_symmetry_equiv_pos_as_xyz
'x,y,z'
loop_
_atom_site_label
_atom_site_fract_x
_atom_site_fract_y
_atom_site_fract_z
W1 0.000 0.000 0.516
Zr1 0.500 0.500 0.274
Zr2 0.000 0.000 0.979
Zn1 0.500 0.500 0.731
# Magnetization = 0.0 μB per cell
# Crystal system = orthorhombic
# DFT total energy = -7.695 eV/atom
# Calculated formation energy = 0.136 eV/atom
# Calculated density = 9.6 Mg/m³
# Fermi-level density of states = 4.18 states/eV per cell

***

Entry 6:
# SeN2Cl3, relaxed, DFT PBE-GGA
data_SeN2Cl3
_chemical_formula_sum 'Se2 N4 Cl6'
_symmetry_space_group_name_H-M 'P 1'
_symmetry_Int_Tables_number 1
_cell_length_a 7.865
_cell_length_b 7.865
_cell_length_c 20.681
_cell_angle_alpha 144.69
_cell_angle_beta 144.69
_cell_angle_gamma 66.03
loop_
_symmetry_equiv_pos_as_xyz
'x,y,z'
loop_
_atom_site_label
_atom_site_fract_x
_atom_site_fract_y
_atom_site_fract_z
Se1 0.952 0.048 0.250
Se2 0.048 0.952 0.750
N1 0.838 0.596 0.118
N2 0.162 0.404 0.882
N3 0.596 0.838 0.618
N4 0.404 0.162 0.382
Cl1 0.400 0.500 0.823
Cl2 0.500 0.600 0.677
Cl3 0.500 0.400 0.323
Cl4 0.600 0.500 0.177
Cl5 0.747 0.253 0.750
Cl6 0.253 0.747 0.250
# Magnetization = 2.0 μB per cell
# Crystal system = monoclinic
# DFT total energy = -3.337 eV/atom
# Calculated density = 2.6 Mg/m³
# Formation energy (no corrections) = 0.942 eV per atom
# Fermi-level density of states = 1.31 states/eV per cell

***

Entry 7:
# TbTmNiAu, relaxed, DFT PBE-GGA
data_TbTmNiAu
_chemical_formula_sum 'Tb1 Tm1 Ni1 Au1'
_symmetry_space_group_name_H-M 'P 1'
_symmetry_Int_Tables_number 1
_cell_length_a 4.933
_cell_length_b 4.933
_cell_length_c 4.933
_cell_angle_alpha 60.00
_cell_angle_beta 60.00
_cell_angle_gamma 60.00
loop_
_symmetry_equiv_pos_as_xyz
'x,y,z'
loop_
_atom_site_label
_atom_site_fract_x
_atom_site_fract_y
_atom_site_fract_z
Ni1 0.750 0.750 0.750
Tb1 0.000 0.000 0.000
Au1 0.250 0.250 0.250
Tm1 0.500 0.500 0.500
# Magnetization = 0.0 μB per cell
# Crystal system = cubic
# DFT total energy = -5.143 eV/atom
# Calculated formation energy = -0.603 eV/atom
# Calculated density = 11.4 Mg/m³
# Fermi-level density of states = 3.16 states/eV per cell

***

Entry 8:
# TbAs2Pd7, relaxed, DFT PBE-GGA
data_TbAs2Pd7
_chemical_formula_sum 'Tb1 As2 Pd7'
_symmetry_space_group_name_H-M 'P 1'
_symmetry_Int_Tables_number 1
_cell_length_a 4.135
_cell_length_b 4.135
_cell_length_c 10.587
_cell_angle_alpha 101.26
_cell_angle_beta 101.26
_cell_angle_gamma 90.00
loop_
_symmetry_equiv_pos_as_xyz
'x,y,z'
loop_
_atom_site_label
_atom_site_fract_x
_atom_site_fract_y
_atom_site_fract_z
Pd1 0.250 0.750 0.500
Pd2 0.750 0.250 0.500
Pd3 0.396 0.896 0.793
Pd4 0.604 0.104 0.207
Pd5 0.104 0.604 0.207
Pd6 0.500 0.500 0.000
Pd7 0.896 0.396 0.793
Tb1 0.000 0.000 0.000
As1 0.674 0.674 0.348
As2 0.326 0.326 0.652
# Magnetization = 0.0 μB per cell
# Crystal system = tetragonal
# DFT total energy = -5.614 eV/atom
# Calculated formation energy = -0.586 eV/atom
# Calculated density = 10.1 Mg/m³
# Fermi-level density of states = 5.36 states/eV per cell

***

Entry 9:
# ScTaTiO6, relaxed, DFT PBE-GGA
data_ScTaTiO6
_chemical_formula_sum 'Sc2 Ta2 Ti2 O12'
_symmetry_space_group_name_H-M 'P 1'
_symmetry_Int_Tables_number 1
_cell_length_a 4.756
_cell_length_b 4.756
_cell_length_c 9.272
_cell_angle_alpha 90.00
_cell_angle_beta 90.00
_cell_angle_gamma 90.00
loop_
_symmetry_equiv_pos_as_xyz
'x,y,z'
loop_
_atom_site_label
_atom_site_fract_x
_atom_site_fract_y
_atom_site_fract_z
Sc1 0.500 0.500 0.502
Sc2 0.000 0.000 0.002
O1 0.702 0.702 0.323
O2 0.798 0.202 0.823
O3 0.187 0.813 0.498
O4 0.300 0.300 0.677
O5 0.700 0.700 0.677
O6 0.202 0.798 0.823
O7 0.800 0.200 0.177
O8 0.813 0.187 0.498
O9 0.298 0.298 0.323
O10 0.200 0.800 0.177
O11 0.687 0.687 0.998
O12 0.313 0.313 0.998
Ti1 0.000 0.000 0.333
Ti2 0.500 0.500 0.833
Ta1 0.500 0.500 0.168
Ta2 0.000 0.000 0.668
# Magnetization = 0.0 μB per cell
# Crystal system = tetragonal
# DFT total energy = -9.309 eV/atom
# Calculated density = 5.9 Mg/m³
# Formation energy (no corrections) = -3.105 eV per atom
# Fermi-level density of states = 0.00 states/eV per cell

***

Entry 10:
# YBi3W, relaxed, DFT PBE-GGA
data_YBi3W
_chemical_formula_sum 'Y1 Bi3 W1'
_symmetry_space_group_name_H-M 'P 1'
_symmetry_Int_Tables_number 1
_cell_length_a 5.439
_cell_length_b 5.439
_cell_length_c 5.439
_cell_angle_alpha 90.00
_cell_angle_beta 90.00
_cell_angle_gamma 90.00
loop_
_symmetry_equiv_pos_as_xyz
'x,y,z'
loop_
_atom_site_label
_atom_site_fract_x
_atom_site_fract_y
_atom_site_fract_z
W1 0.000 0.000 0.000
Bi1 0.000 0.000 0.500
Bi2 0.500 0.000 0.000
Bi3 0.000 0.500 0.000
Y1 0.500 0.500 0.500
# Magnetization = 0.0 μB per cell
# Crystal system = cubic
# DFT total energy = -5.546 eV/atom
# E above lowest polymorph = 0 kJ/mol of formula units
# Calculated formation energy = 0.666 eV/atom
# Calculated density = 9.3 Mg/m³
# Fermi-level density of states = 4.01 states/eV per cell

***

Entry 11:
# Re2PdS, relaxed, DFT PBE-GGA
data_Re2PdS
_chemical_formula_sum 'Re2 Pd1 S1'
_symmetry_space_group_name_H-M 'P 1'
_symmetry_Int_Tables_number 1
_cell_length_a 4.322
_cell_length_b 4.322
_cell_length_c 4.322
_cell_angle_alpha 60.00
_cell_angle_beta 60.00
_cell_angle_gamma 60.00
loop_
_symmetry_equiv_pos_as_xyz
'x,y,z'
loop_
_atom_site_label
_atom_site_fract_x
_atom_site_fract_y
_atom_site_fract_z
Pd1 0.500 0.500 0.500
Re1 0.750 0.750 0.750
Re2 0.250 0.250 0.250
S1 0.000 0.000 0.000
# Magnetization = 0.0 μB per cell
# Crystal system = cubic
# DFT total energy = -7.984 eV/atom
# E above lowest polymorph = 0 kJ/mol of formula units
# Calculated density = 14.9 Mg/m³
# Formation energy (no corrections) = 0.571 eV per atom
# Fermi-level density of states = 2.08 states/eV per cell

***

Entry 12:
# GeRuO2, relaxed, DFT PBE-GGA
data_GeRuO2
_chemical_formula_sum 'Ge1 Ru1 O2'
_symmetry_space_group_name_H-M 'P 1'
_symmetry_Int_Tables_number 1
_cell_length_a 6.582
_cell_length_b 6.582
_cell_length_c 6.582
_cell_angle_alpha 25.67
_cell_angle_beta 25.67
_cell_angle_gamma 25.67
loop_
_symmetry_equiv_pos_as_xyz
'x,y,z'
loop_
_atom_site_label
_atom_site_fract_x
_atom_site_fract_y
_atom_site_fract_z
O1 0.109 0.109 0.109
O2 0.891 0.891 0.891
Ru1 0.000 0.000 0.000
Ge1 0.500 0.500 0.500
# Magnetization = 0.9 μB per cell
# Crystal system = trigonal
# DFT total energy = -6.459 eV/atom
# Calculated density = 7.2 Mg/m³
# Formation energy (no corrections) = -0.506 eV per atom
# Fermi-level density of states = 2.99 states/eV per cell